[1]
Density functional theory data (SCAN) for a crystal of CeScO3 relaxed with PBEsol.

Unit cell a=5.7765 b=7.9540 c=5.5615 alpha=90.00 beta=90.00 gamma=90.00
Last column: nearest neighbours and their distance in Å.
Space group Pnma (No. 62)
One atom of each set of equivalent atoms:
Ce 0.0596 0.2500 0.0154 x4  4 O 2.31-2.41
Sc 0.0000 0.0000 0.5000 x4  6 O 2.10-2.11
O 0.0418 0.7500 0.3855 x4  2 Sc 2.10, 1 Ce 2.31
O 0.1966 0.5592 0.8053 x8  2 Sc 2.10-2.11, 1 Ce 2.34

***

[2]
Density functional theory data (SCAN) for a crystal of Ce2SeO2 relaxed with PBEsol.

Unit cell a=3.9324 b=3.9324 c=6.9123 alpha=90.00 beta=90.00 gamma=120.00
Last column: nearest neighbours and their distance in Å.
Space group P-3m1 (No. 164)
One atom of each set of equivalent atoms:
Ce 0.3333 0.6667 0.2113 x2  4 O 2.33-2.35
Se 0.0000 0.0000 0.5000 x1  6 Ce 3.02
O 0.3333 0.6667 0.8743 x2  4 Ce 2.33-2.35

***

[3]
Density functional theory data (SCAN) for a crystal of CeSe2O6 relaxed with PBEsol.

Unit cell a=7.0443 b=10.7612 c=8.5659 alpha=90.00 beta=126.66 gamma=90.00
Last column: nearest neighbours and their distance in Å.
Space group P2_1/c (No. 14)
One atom of each set of equivalent atoms:
Ce 0.2504 0.0943 0.0090 x4  7 O 2.24-2.45
Se 0.2298 0.0776 0.4396 x4  3 O 1.73-1.74
Se 0.3103 0.7164 0.5681 x4  3 O 1.71-1.75
O 0.0072 0.0215 0.7040 x4  1 Se 1.73
O 0.0843 0.2188 0.3710 x4  1 Se 1.73
O 0.1084 0.6062 0.5360 x4  1 Se 1.74
O 0.3616 0.0878 0.3219 x4  1 Se 1.74
O 0.4490 0.7435 0.3058 x4  1 Se 1.71
O 0.4985 0.5993 0.5917 x4  1 Se 1.75

***

[4]
Density functional theory data (SCAN) for a crystal of Ce2SeO2 relaxed with PBEsol.

Unit cell a=3.8751 b=3.8751 c=12.2166 alpha=90.00 beta=90.00 gamma=90.00
Last column: nearest neighbours and their distance in Å.
Space group I4/mmm (No. 139)
One atom of each set of equivalent atoms:
Ce 0.0000 0.0000 0.1480 x4  4 O 2.30
Se 0.0000 0.0000 0.5000 x2  8 Ce 3.28, 8 O 3.62
O 0.0000 0.5000 0.2500 x4  4 Ce 2.30

***

[5]
Density functional theory data (SCAN) for a crystal of Ce2SiSeO4 relaxed with PBEsol.

Unit cell a=6.2183 b=7.1432 c=10.9803 alpha=90.00 beta=90.00 gamma=90.00
Last column: nearest neighbours and their distance in Å.
Space group Pbcm (No. 57)
One atom of each set of equivalent atoms:
Ce 0.1066 0.2500 0.0000 x4  6 O 2.45-2.51
Ce 0.3670 0.5327 0.2500 x4  6 O 2.46-2.56
Si 0.3881 0.7500 0.0000 x4  4 O 1.64-1.65
Se 0.0799 0.6101 0.7500 x4  4 Ce 2.96-3.14, 2 O 3.24
O 0.2305 0.5726 0.0317 x8  1 Si 1.64
O 0.4507 0.2363 0.6187 x8  1 Si 1.65

***

[6]
Density functional theory data (SCAN) for a crystal of Ce5Sm2O13 relaxed with PBEsol.

Unit cell a=3.8098 b=3.8098 c=66.3669 alpha=90.00 beta=90.00 gamma=120.00
Last column: nearest neighbours and their distance in Å.
Space group R3m (No. 160, hexagonal axes)
One atom of each set of equivalent atoms:
Ce 0.0000 0.0000 0.0000 x3  8 O 2.29-2.39
Ce 0.0000 0.0000 0.1410 x3  7 O 2.27-2.34
Ce 0.0000 0.0000 0.2863 x3  8 O 2.30-2.39
Ce 0.0000 0.0000 0.4274 x3  8 O 2.29-2.38
Ce 0.0000 0.0000 0.7137 x3  8 O 2.29-2.40
Sm 0.0000 0.0000 0.5741 x3  7 O 2.31-2.54
Sm 0.0000 0.0000 0.8556 x3  5 O 2.18-2.38
O 0.0000 0.0000 0.0361 x3  4 Ce 2.32-2.39
O 0.0000 0.0000 0.1068 x3  4 Ce 2.27-2.35
O 0.0000 0.0000 0.1820 x3  3 Sm 2.25
O 0.0000 0.0000 0.2516 x3  1 Ce 2.30, 3 Sm 2.31
O 0.0000 0.0000 0.3223 x3  4 Ce 2.32-2.39
O 0.0000 0.0000 0.3930 x3  4 Ce 2.29-2.35
O 0.0000 0.0000 0.4633 x3  4 Ce 2.32-2.38
O 0.0000 0.0000 0.6089 x3  1 Sm 2.31, 3 Ce 2.31
O 0.0000 0.0000 0.6792 x3  4 Ce 2.29-2.35
O 0.0000 0.0000 0.7498 x3  4 Ce 2.32-2.40
O 0.0000 0.0000 0.8198 x3  3 Ce 2.34, 1 Sm 2.38
O 0.0000 0.0000 0.8884 x3  1 Sm 2.18
O 0.0000 0.0000 0.9655 x3  4 Ce 2.29-2.35

***

[7]
Density functional theory data (SCAN) for a crystal of Ce2Sm2O7 relaxed with PBEsol.

Unit cell a=10.8979 b=10.8979 c=10.8979 alpha=90.00 beta=90.00 gamma=90.00
Last column: nearest neighbours and their distance in Å.
Space group Fd-3m (No. 227, origin choice 2)
One atom of each set of equivalent atoms:
Ce 0.0000 0.0000 0.0000 x16  6 O 2.22
Sm 0.0000 0.0000 0.5000 x16  8 O 2.36-2.52
O 0.1008 0.3750 0.3750 x48  2 Ce 2.22
O 0.1250 0.1250 0.6250 x8  4 Sm 2.36

***

[8]
Density functional theory data (SCAN) for a crystal of SrCe2O4 relaxed with PBEsol.

Unit cell a=9.8391 b=3.5612 c=12.0660 alpha=90.00 beta=90.00 gamma=90.00
Last column: nearest neighbours and their distance in Å.
Space group Pnma (No. 62)
One atom of each set of equivalent atoms:
Sr 0.2368 0.2500 0.1475 x4  8 O 2.61-2.92
Ce 0.0629 0.7500 0.3841 x4  6 O 2.25-2.48
Ce 0.1071 0.7500 0.8981 x4  6 O 2.31-2.44
O 0.0081 0.7500 0.7157 x4  3 Ce 2.26-2.41
O 0.0557 0.7500 0.0850 x4  3 Ce 2.31-2.40
O 0.1501 0.2500 0.5066 x4  4 Ce 2.47-2.72, 2 Sr 2.70
O 0.2313 0.2500 0.8033 x4  3 Ce 2.25-2.44

***

[9]
Density functional theory data (SCAN) for a crystal of Sr2CeO4 relaxed with PBEsol.

Unit cell a=6.0749 b=10.2712 c=3.5958 alpha=90.00 beta=90.00 gamma=90.00
Last column: nearest neighbours and their distance in Å.
Space group Pbam (No. 55)
One atom of each set of equivalent atoms:
Sr 0.0631 0.1791 0.0000 x4  6 O 2.48-2.61
Ce 0.0000 0.5000 0.5000 x2  6 O 2.19-2.30
O 0.1442 0.6949 0.5000 x4  1 Ce 2.19
O 0.2262 0.4579 0.0000 x4  2 Ce 2.30, 1 Sr 2.48

***

[10]
Density functional theory data (SCAN) for a crystal of SrCe3V4O16 relaxed with PBEsol.

Unit cell a=7.2963 b=7.2963 c=6.4051 alpha=90.00 beta=90.00 gamma=90.00
Last column: nearest neighbours and their distance in Å.
Space group P-4m2 (No. 115)
One atom of each set of equivalent atoms:
Sr 0.0000 0.0000 0.0000 x1  8 O 2.43-2.57
Ce 0.0000 0.5000 0.2494 x2  8 O 2.35-2.48
Ce 0.5000 0.5000 0.5000 x1  8 O 2.36-2.48
V 0.0000 0.0000 0.5000 x1  4 O 1.72
V 0.0000 0.5000 0.7487 x2  4 O 1.69-1.74
V 0.5000 0.5000 0.0000 x1  4 O 1.72
O 0.0000 0.1884 0.3395 x4  1 V 1.72
O 0.0000 0.3264 0.9234 x4  1 V 1.69
O 0.1836 0.5000 0.5754 x4  1 V 1.74
O 0.3193 0.5000 0.1728 x4  1 V 1.72

***

[11]
Density functional theory data (SCAN) for a crystal of CeTa7O19 relaxed with PBEsol.

Unit cell a=6.2141 b=6.2141 c=20.0131 alpha=90.00 beta=90.00 gamma=120.00
Last column: nearest neighbours and their distance in Å.
Space group P-6c2 (No. 188)
One atom of each set of equivalent atoms:
Ce 0.0000 0.0000 0.0000 x2  8 O 2.43-2.61
Ta 0.0289 0.3336 0.1560 x12  6 O 1.91-2.05
Ta 0.3333 0.6667 0.0000 x2  6 O 1.99
O 0.0000 0.0000 0.1304 x4  3 Ta 2.05
O 0.0412 0.2875 0.2500 x6  2 Ta 1.91
O 0.0957 0.3838 0.0565 x12  2 Ta 1.99-2.03
O 0.3333 0.6667 0.1680 x4  3 Ta 2.00
O 0.4182 0.0847 0.6534 x12  2 Ta 1.99-2.00

***

[12]
Density functional theory data (SCAN) for a crystal of CeTa7O19 relaxed with PBEsol.

Unit cell a=6.2294 b=6.2294 c=20.0584 alpha=90.00 beta=90.00 gamma=120.00
Last column: nearest neighbours and their distance in Å.
Space group P6_322 (No. 182)
One atom of each set of equivalent atoms:
Ce 0.3333 0.6667 0.2500 x2  8 O 2.42-2.67
Ta 0.0019 0.3617 0.9053 x12  6 O 1.91-2.05
Ta 0.3333 0.6667 0.7500 x2  6 O 2.00
O 0.0000 0.3969 0.0000 x6  2 Ta 1.91
O 0.0026 0.2485 0.4035 x12  2 Ta 1.98-2.00
O 0.0485 0.4264 0.8057 x12  2 Ta 2.00-2.03
O 0.3333 0.6667 0.1168 x4  3 Ta 2.05
O 0.3333 0.6667 0.5907 x4  3 Ta 1.99

***

[13]
Density functional theory data (SCAN) for a crystal of CeTa3O9 relaxed with PBEsol.

Unit cell a=12.4472 b=7.6226 c=6.5216 alpha=90.00 beta=94.22 gamma=90.00
Last column: nearest neighbours and their distance in Å.
Space group C2/m (No. 12)
One atom of each set of equivalent atoms:
Ce 0.2343 0.0000 0.0512 x4  8 O 2.41-2.54
Ta 0.0342 0.2487 0.7622 x8  5 O 1.92-2.08
Ta 0.2500 0.2500 0.5000 x4  6 O 1.97-1.99
O 0.0413 0.0000 0.7205 x4  2 Ta 1.92
O 0.0708 0.5000 0.8016 x4  2 Ta 1.98
O 0.0909 0.2231 0.0689 x8  2 Ta 1.98-2.08
O 0.0914 0.2849 0.4536 x8  3 Ta 1.99-2.20
O 0.2076 0.2154 0.7824 x8  2 Ta 1.97-2.17
O 0.2303 0.0000 0.4245 x4  2 Ta 1.98

***

Number 1: formation energy (no corrections) -3.80 eV per atom, electronic total energy -19.2942 eV/atom. Number 2: formation energy (no corrections) -3.27 eV per atom, electronic total energy -27.6043 eV/atom. Number 3: formation energy (no corrections) -1.85 eV per atom, electronic total energy -15.4135 eV/atom. Number 4: formation energy (no corrections) -3.28 eV per atom, electronic total energy -27.6111 eV/atom. Number 5: formation energy (no corrections) -3.23 eV per atom, electronic total energy -21.2501 eV/atom. Number 6: formation energy (no corrections) -3.74 eV per atom, electronic total energy -23.3742 eV/atom. Number 7: formation energy (no corrections) -3.68 eV per atom, electronic total energy -23.8275 eV/atom. Number 8: formation energy (no corrections) -3.44 eV per atom, electronic total energy -22.9124 eV/atom. Number 9: formation energy (no corrections) -3.38 eV per atom, electronic total energy -19.6678 eV/atom. Number 10: formation energy (no corrections) -3.20 eV per atom, electronic total energy -16.7636 eV/atom. Number 11: formation energy (no corrections) -3.15 eV per atom, electronic total energy -26.4461 eV/atom. Number 12: formation energy (no corrections) -3.14 eV per atom, electronic total energy -26.4365 eV/atom. Number 13: formation energy (no corrections) -3.24 eV per atom, electronic total energy -26.3493 eV/atom.